VASP calculation (PBE) on Li2MnI4 after structural relaxation.

```
7
Lattice="-3.367 3.367 6.443 3.367 -3.367 6.443 3.367 3.367 -6.443" Properties=species:S:1:pos:R:3 pbc="T T T"
Li 3.367 0.000 0.000
Li 0.000 3.367 0.000
Mn 0.000 0.000 0.000
I 1.775 -1.775 4.956
I 1.592 1.592 1.487
I -1.775 1.775 4.956
I 1.775 1.775 7.931
```

Total magnetic moment (μB per formula unit): 5.00
E_tot (eV per cell): -25.33
N(E_F) (states/eV per atom): 0.00
Formation energy from raw total energies (eV/atom): -0.88


VASP calculation (PBE) on Li2MnI4 after structural relaxation.

```
7
Lattice="-2.925 2.925 7.200 2.925 -2.925 7.200 2.925 2.925 -7.200" Properties=species:S:1:pos:R:3 pbc="T T T"
Li 0.000 0.000 1.766
Li 0.000 0.000 12.633
Mn 0.000 0.000 7.200
I 2.925 0.000 0.000
I 0.000 0.000 4.419
I 0.000 2.925 0.000
I 0.000 0.000 9.980
```

Total magnetic moment (μB per formula unit): 4.99
E_tot (eV per cell): -23.78
Formation energy from raw total energies (eV/atom): -0.66


VASP calculation (PBE) on LiMnI3 after structural relaxation.

```
5
Lattice="5.738 0.000 0.000 0.000 5.738 0.000 0.000 0.000 5.738" Properties=species:S:1:pos:R:3 pbc="T T T"
Li 0.000 0.000 0.000
Mn 2.869 2.869 2.869
I 0.000 2.869 2.869
I 2.869 0.000 2.869
I 2.869 2.869 0.000
```

Total magnetic moment (μB per formula unit): 5.00
E_tot (eV per cell): -17.87
N(E_F) (states/eV per atom): 0.00
Formation energy from raw total energies (eV/atom): -0.43


VASP calculation (PBE) on LiMnIN2 after structural relaxation.

```
5
Lattice="3.669 0.000 0.000 0.000 3.669 0.000 0.000 0.000 5.716" Properties=species:S:1:pos:R:3 pbc="T T T"
Li 0.000 0.000 0.000
Mn 1.834 1.834 2.858
I 1.834 1.834 0.000
N 0.000 1.834 2.858
N 1.834 0.000 2.858
```

Total magnetic moment (μB per formula unit): 0.00
E_tot (eV per cell): -27.94
N(E_F) (states/eV per atom): 0.24
Formation energy from raw total energies (eV/atom): 0.27


VASP calculation (PBE) on LiMnI2N after structural relaxation.

```
5
Lattice="5.728 0.000 0.000 0.000 5.728 0.000 0.000 0.000 3.644" Properties=species:S:1:pos:R:3 pbc="T T T"
Li 0.000 0.000 0.000
Mn 2.864 2.864 1.822
I 0.000 2.864 1.822
I 2.864 0.000 1.822
N 2.864 2.864 0.000
```

Total magnetic moment (μB per formula unit): 2.94
E_tot (eV per cell): -23.18
N(E_F) (states/eV per atom): 0.45
Formation energy from raw total energies (eV/atom): -0.13


VASP calculation (PBE) on LiMnIN2 after structural relaxation.

```
5
Lattice="3.750 0.000 0.000 0.000 3.750 0.000 0.000 0.000 5.180" Properties=species:S:1:pos:R:3 pbc="T T T"
Li 0.000 0.000 0.000
Mn 1.875 1.875 2.590
I 0.000 0.000 2.590
N 0.000 1.875 0.000
N 1.875 0.000 0.000
```

Total magnetic moment (μB per formula unit): 1.72
E_tot (eV per cell): -19.01
N(E_F) (states/eV per atom): 1.47
Formation energy from raw total energies (eV/atom): 2.05


VASP calculation (PBE) on LiMnI2N after structural relaxation.

```
5
Lattice="5.363 0.000 0.000 0.000 5.363 0.000 0.000 0.000 3.805" Properties=species:S:1:pos:R:3 pbc="T T T"
Li 0.000 0.000 0.000
Mn 2.682 2.682 1.902
I 0.000 2.682 0.000
I 2.682 0.000 0.000
N 0.000 0.000 1.902
```

Total magnetic moment (μB per formula unit): 4.81
E_tot (eV per cell): -18.20
N(E_F) (states/eV per atom): 1.09
Formation energy from raw total energies (eV/atom): 0.86


VASP calculation (PBE) on Na2LiMnI6 after structural relaxation.

```
10
Lattice="7.528 0.000 0.000 3.372 7.080 0.000 3.177 1.830 7.101" Properties=species:S:1:pos:R:3 pbc="T T T"
Na 0.000 0.000 0.000
Na 6.610 4.420 4.117
Li 3.755 2.051 2.410
Mn 7.318 4.319 0.130
I 4.890 4.484 1.369
I 5.189 1.738 4.720
I 8.119 6.402 1.688
I 9.472 4.375 5.520
I 8.551 2.396 1.830
I 12.364 6.791 5.444
```

Total magnetic moment (μB per formula unit): 3.95
E_tot (eV per cell): -31.27
Formation energy from raw total energies (eV/atom): -0.83